[1]
A plane-wave DFT calculation with SCAN was carried out for a crystal of CuRe2Pb relaxed with PBEsol.

Cell lengths 4.3587, 4.3587, 3.3017 Å; angles 90.00, 90.00, 90.00 degrees
Closest atoms and distances in Å follow each position.
Atoms (fractional coordinates):
Cu (0.0000, 0.0000, 0.0000)  8 Re 2.73
Re (0.0000, 0.5000, 0.5000)  4 Pb 2.73, 4 Cu 2.73
Re (0.5000, 0.0000, 0.5000)  4 Pb 2.73, 4 Cu 2.73
Pb (0.5000, 0.5000, 0.0000)  8 Re 2.73

Output
Its energy of formation is 1.237 eV/atom.


[2]
A plane-wave DFT calculation with SCAN was carried out for a crystal of LaNi2Ag2 relaxed with PBEsol.

Cell lengths 3.9456, 3.9456, 11.3790 Å; angles 90.00, 90.00, 90.00 degrees
Closest atoms and distances in Å follow each position.
Atoms (fractional coordinates):
La (0.0000, 0.0000, 0.0000)  8 Ni 3.01
La (0.5000, 0.5000, 0.5000)  8 Ni 3.01
Ni (0.0000, 0.0000, 0.4012)  1 Ni 2.25
Ni (0.0000, 0.0000, 0.5988)  1 Ni 2.25
Ni (0.5000, 0.5000, 0.0988)  1 Ni 2.25
Ni (0.5000, 0.5000, 0.9012)  1 Ni 2.25
Ag (0.0000, 0.5000, 0.2500)  4 Ni 2.62, 4 Ag 2.79
Ag (0.0000, 0.5000, 0.7500)  4 Ni 2.62, 4 Ag 2.79
Ag (0.5000, 0.0000, 0.2500)  4 Ni 2.62, 4 Ag 2.79
Ag (0.5000, 0.0000, 0.7500)  4 Ni 2.62, 4 Ag 2.79

Output
Its energy of formation is -0.127 eV/atom.


[3]
A plane-wave DFT calculation with SCAN was carried out for a crystal of AgAs2BrF relaxed with PBEsol.

Cell lengths 4.2453, 4.2453, 5.7485 Å; angles 90.00, 90.00, 90.00 degrees
Closest atoms and distances in Å follow each position.
Atoms (fractional coordinates):
Ag (0.0000, 0.0000, 0.0000)  4 Br 3.00
As (0.0000, 0.5000, 0.5000)  2 F 2.12
As (0.5000, 0.0000, 0.5000)  2 F 2.12
Br (0.5000, 0.5000, 0.0000)  2 F 2.87, 4 Ag 3.00
F (0.5000, 0.5000, 0.5000)  4 As 2.12

Output
Its total energy is -18.667 eV per atom.


[4]
A plane-wave DFT calculation with SCAN was carried out for a crystal of BaSrPb2O6 relaxed with PBEsol.

Cell lengths 8.4803, 5.9785, 6.0372 Å; angles 90.00, 90.00, 90.00 degrees
Closest atoms and distances in Å follow each position.
Atoms (fractional coordinates):
Ba (0.0000, 0.2403, 0.0000)  6 O 2.63-2.94
Ba (0.0000, 0.7597, 0.5000)  6 O 2.63-2.94
Sr (0.5000, 0.2584, 0.0787)  6 O 2.52-2.78
Sr (0.5000, 0.7416, 0.5787)  6 O 2.52-2.78
Pb (0.2555, 0.2497, 0.5346)  6 O 2.17-2.21
Pb (0.2555, 0.7503, 0.0346)  6 O 2.17-2.21
Pb (0.7445, 0.2497, 0.5346)  6 O 2.17-2.21
Pb (0.7445, 0.7503, 0.0346)  6 O 2.17-2.21
O (0.0000, 0.3179, 0.5437)  2 Pb 2.21
O (0.0000, 0.6821, 0.0437)  2 Pb 2.21
O (0.2160, 0.0420, 0.2426)  2 Pb 2.18
O (0.2160, 0.9580, 0.7426)  2 Pb 2.18
O (0.3048, 0.4601, 0.8216)  2 Pb 2.18-2.20
O (0.3048, 0.5399, 0.3216)  2 Pb 2.18-2.20
O (0.5000, 0.1533, 0.4929)  2 Pb 2.17
O (0.5000, 0.8467, 0.9929)  2 Pb 2.17
O (0.6952, 0.4601, 0.8216)  2 Pb 2.18-2.20
O (0.6952, 0.5399, 0.3216)  2 Pb 2.18-2.20
O (0.7840, 0.0420, 0.2426)  2 Pb 2.18
O (0.7840, 0.9580, 0.7426)  2 Pb 2.18

Output
Its total energy is -26.933 eV per atom.


[5]
A plane-wave DFT calculation with SCAN was carried out for a crystal of KScMo2 relaxed with PBEsol.

Cell lengths 5.4399, 5.4399, 2.6507 Å; angles 90.00, 90.00, 90.00 degrees
Closest atoms and distances in Å follow each position.
Atoms (fractional coordinates):
K (0.0000, 0.0000, 0.0000)  2 K 2.65
Sc (0.5000, 0.5000, 0.0000)  2 Sc 2.65
Mo (0.0000, 0.5000, 0.5000)  2 Mo 2.65
Mo (0.5000, 0.0000, 0.5000)  2 Mo 2.65

Output
Its energy of formation is 1.583 eV/atom.


[6]
A plane-wave DFT calculation with SCAN was carried out for a crystal of ZnCuNi relaxed with PBEsol.

Cell lengths 2.6194, 2.6194, 10.0380 Å; angles 90.00, 90.00, 90.00 degrees
Closest atoms and distances in Å follow each position.
Atoms (fractional coordinates):
Zn (0.0000, 0.0000, 0.0000)  4 Ni 2.47, 4 Cu 2.55, 4 Zn 2.62
Zn (0.5000, 0.5000, 0.5000)  4 Ni 2.47, 4 Cu 2.55, 4 Zn 2.62
Cu (0.0000, 0.0000, 0.6751)  4 Ni 2.47, 4 Zn 2.55, 4 Cu 2.62
Cu (0.5000, 0.5000, 0.1751)  4 Ni 2.47, 4 Zn 2.55, 4 Cu 2.62
Ni (0.0000, 0.0000, 0.3371)  4 Cu 2.47, 4 Zn 2.47, 4 Ni 2.62
Ni (0.5000, 0.5000, 0.8371)  4 Cu 2.47, 4 Zn 2.47, 4 Ni 2.62

Output
Its energy of formation is -0.089 eV/atom.


[7]
A plane-wave DFT calculation with SCAN was carried out for a crystal of Hf3GaF relaxed with PBEsol.

Cell lengths 4.9384, 4.9384, 4.9384 Å; angles 90.00, 90.00, 90.00 degrees
Closest atoms and distances in Å follow each position.
Atoms (fractional coordinates):
Hf (0.0000, 0.0000, 0.5000)  2 Ga 2.47
Hf (0.0000, 0.5000, 0.0000)  2 Ga 2.47
Hf (0.5000, 0.0000, 0.0000)  2 Ga 2.47
Ga (0.0000, 0.0000, 0.0000)  6 Hf 2.47
F (0.5000, 0.5000, 0.5000)  12 Hf 3.49

Output
Its total energy is -40.808 eV per atom.


[8]
A plane-wave DFT calculation with SCAN was carried out for a crystal of KNaNbRh2 relaxed with PBEsol.

Cell lengths 4.7164, 4.7164, 4.6132 Å; angles 90.00, 90.00, 90.00 degrees
Closest atoms and distances in Å follow each position.
Atoms (fractional coordinates):
K (0.0000, 0.0000, 0.0000)  2 Nb 2.31, 4 Rh 2.36
Na (0.5000, 0.5000, 0.5000)  8 Rh 3.30, 4 Nb 3.34
Nb (0.0000, 0.0000, 0.5000)  2 K 2.31
Rh (0.0000, 0.5000, 0.0000)  2 K 2.36
Rh (0.5000, 0.0000, 0.0000)  2 K 2.36

Output
Its energy of formation is 2.337 eV/atom.